# 1
Material: ScCr2
Method: DFT, PBE
State: relaxed

Structure (extended XYZ):
```
6
Lattice="-2.281 2.281 4.770 2.281 -2.281 4.770 2.281 2.281 -4.770" Properties=species:S:1:pos:R:3 pbc="T T T"
Sc 0.000 0.000 2.385
Sc 0.000 0.000 7.155
Cr 3.183 0.902 0.000
Cr 0.902 1.380 0.000
Cr 1.380 0.902 4.770
Cr -0.902 1.380 4.770
```

Results
symmetry = I4/mcm, No. 140
D(E_F) = 9.822 states/eV per cell
E_form = 476 meV per atom


# 2
Material: TaPt4Au
Method: DFT, PBE
State: relaxed

Structure (extended XYZ):
```
6
Lattice="0.000 3.705 3.705 3.705 0.000 3.705 3.705 3.705 0.000" Properties=species:S:1:pos:R:3 pbc="T T T"
Ta 0.000 0.000 0.000
Pt 2.778 2.778 2.778
Pt 4.631 4.631 2.778
Pt 4.631 2.778 4.631
Pt 2.778 4.631 4.631
Au 5.557 5.557 5.557
```

Results
symmetry = F-43m, No. 216
D(E_F) = 3.845 states/eV per cell
E_form = -146 meV per atom


# 3
Material: H3WSe
Method: DFT, PBE
State: relaxed

Structure (extended XYZ):
```
5
Lattice="3.617 0.000 0.000 0.000 3.617 0.000 0.000 0.000 3.617" Properties=species:S:1:pos:R:3 pbc="T T T"
H 0.000 0.000 1.808
H 0.000 1.808 0.000
H 1.808 0.000 0.000
W 0.000 0.000 0.000
Se 1.808 1.808 1.808
```

Results
symmetry = Pm-3m, No. 221
D(E_F) = 4.430 states/eV per cell
distance to the lowest polymorph of the same formula = 0 meV/atom


# 4
Material: Ho8AlSb6
Method: DFT, PBE
State: relaxed

Structure (extended XYZ):
```
15
Lattice="10.561 0.000 0.000 -5.281 9.146 0.000 0.000 0.000 4.554" Properties=species:S:1:pos:R:3 pbc="T T T"
Ho -3.545 6.752 1.117
Ho 1.205 2.700 1.117
Ho 2.941 0.306 3.438
Ho 0.000 6.098 3.430
Ho 5.281 3.049 1.125
Ho 2.339 8.840 1.117
Ho 4.075 6.446 3.438
Ho 8.826 2.394 3.438
Al 0.000 0.000 0.000
Sb -1.318 4.341 1.153
Sb -0.863 8.117 1.153
Sb 3.100 3.312 3.402
Sb 2.181 5.835 1.153
Sb 6.143 1.029 3.402
Sb 6.599 4.806 3.402
```

Results
symmetry = P-3, No. 147
D(E_F) = 9.278 states/eV per cell
raw formation energy = -0.64 eV per atom